Entry 1:
This record from Alexandria describes Ba2TiOsPb after structural relaxation. The functional is PBE-GGA.

Values from the calculation:
Crystal system ... tetragonal
Energy of formation ... 718 kJ/mol of formula units
M_tot ... 0.5023 μB/atom
D(E_F) ... 11.7 states/eV per cell
Symmetry ... P4/mmm (123)
Raw total energy ... -3.846 eV/atom

a b c (Å): 6.531 6.531 5.228
angles (deg): 90.00 90.00 90.00
Element x y z (fractional)
Ba 0.000 0.500 0.000
Ba 0.500 0.000 0.000
Ti 0.000 0.000 0.500
Os 0.500 0.500 0.500
Pb 0.000 0.000 0.000

Entry 2:
This record from Alexandria describes Al2GaAs3 after structural relaxation. The functional is PBE-GGA.

Values from the calculation:
Crystal system ... monoclinic
Energy of formation ... -256 kJ/mol of formula units
M_tot ... 0.0000 μB/atom
Symmetry ... Cc (9)
Raw total energy ... -4.519 eV/atom

a b c (Å): 7.028 7.028 7.029
angles (deg): 99.61 99.61 119.99
Element x y z (fractional)
Al 0.083 0.917 0.500
Al 0.249 0.749 0.000
Al 0.749 0.249 0.500
Al 0.917 0.083 0.000
Ga 0.416 0.583 0.500
Ga 0.583 0.416 0.000
As 0.040 0.207 0.374
As 0.207 0.040 0.874
As 0.374 0.875 0.374
As 0.542 0.709 0.876
As 0.709 0.542 0.376
As 0.875 0.374 0.874

Entry 3:
This record from Alexandria describes SrDyS2 after structural relaxation. The functional is PBE-GGA.

Values from the calculation:
Crystal system ... trigonal
Energy above the lowest structure with this stoichiometry ... 1.945 kcal/mol of atoms
M_tot ... 0.0000 μB/atom
D(E_F) ... 2.0 states/eV per cell
Symmetry ... R3m (160)
Raw total energy ... -5.588 eV/atom

a b c (Å): 7.434 7.434 7.434
angles (deg): 31.03 31.03 31.03
Element x y z (fractional)
Sr 0.000 0.000 0.000
Dy 0.825 0.825 0.825
S 0.237 0.237 0.237
S 0.420 0.420 0.420

Entry 4:
This record from Alexandria describes ZrSbCl2 after structural relaxation. The functional is PBE-GGA.

Values from the calculation:
Crystal system ... cubic
Energy above the lowest structure with this stoichiometry ... 18.011 kcal/mol of atoms
M_tot ... 0.0000 μB/atom
D(E_F) ... 4.1 states/eV per cell
Symmetry ... F-43m (216)
Raw total energy ... -4.385 eV/atom

a b c (Å): 5.035 5.035 5.035
angles (deg): 60.00 60.00 60.00
Element x y z (fractional)
Zr 0.000 0.000 0.000
Sb 0.750 0.750 0.750
Cl 0.250 0.250 0.250
Cl 0.500 0.500 0.500

Entry 5:
This record from Alexandria describes Ac2SI2N after structural relaxation. The functional is PBE-GGA.

Values from the calculation:
Crystal system ... orthorhombic
M_tot ... 0.1700 μB/atom
D(E_F) ... 4.2 states/eV per cell
Symmetry ... Pmc2_1 (26)
Raw total energy ... -5.381 eV/atom

a b c (Å): 4.442 12.570 7.644
angles (deg): 90.00 90.00 90.00
Element x y z (fractional)
Ac 0.000 0.072 0.000
Ac 0.000 0.928 0.500
Ac 0.500 0.198 0.415
Ac 0.500 0.802 0.915
S 0.500 0.036 0.709
S 0.500 0.964 0.209
I 0.000 0.382 0.552
I 0.000 0.618 0.052
I 0.500 0.282 0.004
I 0.500 0.718 0.504
N 0.000 0.116 0.349
N 0.000 0.884 0.849

Entry 6:
This record from Alexandria describes Mg7GaAg4 after structural relaxation. The functional is PBE-GGA.

Values from the calculation:
Crystal system ... monoclinic
Energy of formation ... -68 kJ/mol of formula units
M_tot ... 0.0000 μB/atom
D(E_F) ... 4.1 states/eV per cell
Symmetry ... C2/m (12)
Raw total energy ... -2.191 eV/atom

a b c (Å): 7.332 7.332 8.595
angles (deg): 121.74 121.74 40.17
Element x y z (fractional)
Mg 0.000 0.000 0.000
Mg 0.257 0.257 0.727
Mg 0.301 0.301 0.127
Mg 0.425 0.425 0.586
Mg 0.575 0.575 0.414
Mg 0.699 0.699 0.873
Mg 0.743 0.743 0.273
Ga 0.500 0.500 0.000
Ag 0.056 0.056 0.718
Ag 0.183 0.183 0.361
Ag 0.817 0.817 0.639
Ag 0.944 0.944 0.282

Entry 7:
This record from Alexandria describes LiPm2Pr after structural relaxation. The functional is PBE-GGA.

Values from the calculation:
Crystal system ... trigonal
Energy of formation ... 72 kJ/mol of formula units
Energy above the lowest structure with this stoichiometry ... 2.725 kcal/mol of atoms
M_tot ... 0.0002 μB/atom
D(E_F) ... 5.8 states/eV per cell
Symmetry ... R-3m (166)
Raw total energy ... -3.862 eV/atom

a b c (Å): 12.685 12.685 12.685
angles (deg): 16.12 16.12 16.12
Element x y z (fractional)
Li 0.000 0.000 0.000
Pm 0.088 0.088 0.088
Pm 0.912 0.912 0.912
Pr 0.500 0.500 0.500

Entry 8:
This record from Alexandria describes CaTi2F after structural relaxation. The functional is PBE-GGA.

Values from the calculation:
Crystal system ... cubic
Energy above the lowest structure with this stoichiometry ... 24.199 kcal/mol of atoms
M_tot ... 0.0001 μB/atom
D(E_F) ... 8.7 states/eV per cell
Symmetry ... Fm-3m (225)
Raw total energy ... -4.321 eV/atom

a b c (Å): 4.828 4.828 4.828
angles (deg): 60.00 60.00 60.00
Element x y z (fractional)
Ca 0.000 0.000 0.000
Ti 0.250 0.250 0.250
Ti 0.750 0.750 0.750
F 0.500 0.500 0.500

Entry 9:
This record from Alexandria describes Zr2TlCuSb after structural relaxation. The functional is PBE-GGA.

Values from the calculation:
Crystal system ... tetragonal
M_tot ... 0.0000 μB/atom
D(E_F) ... 4.9 states/eV per cell
Symmetry ... P4/mmm (123)
Raw total energy ... -5.175 eV/atom

a b c (Å): 5.078 5.078 4.682
angles (deg): 90.00 90.00 90.00
Element x y z (fractional)
Zr 0.000 0.500 0.000
Zr 0.500 0.000 0.000
Tl 0.000 0.000 0.500
Cu 0.500 0.500 0.000
Sb 0.500 0.500 0.500

Entry 10:
This record from Alexandria describes La2PO after structural relaxation. The functional is PBE-GGA.

Values from the calculation:
Crystal system ... cubic
Energy above the lowest structure with this stoichiometry ... 11.520 kcal/mol of atoms
M_tot ... 0.0000 μB/atom
D(E_F) ... 1.5 states/eV per cell
Symmetry ... Fm-3m (225)
Raw total energy ... -6.709 eV/atom

a b c (Å): 4.857 4.857 4.857
angles (deg): 60.00 60.00 60.00
Element x y z (fractional)
La 0.250 0.250 0.250
La 0.750 0.750 0.750
P 0.000 0.000 0.000
O 0.500 0.500 0.500

Entry 11:
This record from Alexandria describes LiThGaAu after structural relaxation. The functional is PBE-GGA.

Values from the calculation:
Crystal system ... cubic
Energy of formation ... -186 kJ/mol of formula units
M_tot ... 0.0000 μB/atom
D(E_F) ... 2.2 states/eV per cell
Symmetry ... F-43m (216)
Raw total energy ... -4.392 eV/atom

a b c (Å): 4.980 4.980 4.980
angles (deg): 60.00 60.00 60.00
Element x y z (fractional)
Li 0.000 0.000 0.000
Th 0.500 0.500 0.500
Ga 0.250 0.250 0.250
Au 0.750 0.750 0.750

Entry 12:
This record from Alexandria describes Ti5In4H after structural relaxation. The functional is PBE-GGA.

Values from the calculation:
Crystal system ... tetragonal
M_tot ... 0.0727 μB/atom
D(E_F) ... 10.3 states/eV per cell
Symmetry ... I4/mmm (139)
Raw total energy ... -5.506 eV/atom

a b c (Å): 6.769 6.769 6.769
angles (deg): 95.62 95.62 143.54
Element x y z (fractional)
Ti 0.000 0.000 0.000
Ti 0.335 0.335 0.670
Ti 0.335 0.665 0.000
Ti 0.665 0.335 0.000
Ti 0.665 0.665 0.330
In 0.000 0.317 0.317
In 0.000 0.683 0.683
In 0.317 0.000 0.317
In 0.683 0.000 0.683
H 0.500 0.500 0.000

Entry 13:
This record from Alexandria describes HgSeI2 after structural relaxation. The functional is PBE-GGA.

Values from the calculation:
Crystal system ... monoclinic
Energy above the lowest structure with this stoichiometry ... 1.523 kcal/mol of atoms
M_tot ... 0.0000 μB/atom
Symmetry ... C2 (5)
Raw total energy ... -1.819 eV/atom

a b c (Å): 6.354 6.354 4.466
angles (deg): 109.87 109.87 71.53
Element x y z (fractional)
Hg 0.000 0.000 0.000
Se 0.203 0.797 0.500
I 0.491 0.118 0.797
I 0.882 0.509 0.203